Density functional theory data (GGA-PBE) for a geometry-optimized HgGeF3 structure.

```
data_HgGeF3
_cell_length_a 4.565
_cell_length_b 4.565
_cell_length_c 4.565
_cell_angle_alpha 90.00
_cell_angle_beta 90.00
_cell_angle_gamma 90.00
_symmetry_space_group_name_H-M 'P m -3 m'
_symmetry_Int_Tables_number 221
_symmetry_space_group_name_Hall '-P 4 2 3'
loop_
_atom_site_label
_atom_site_type_symbol
_atom_site_fract_x
_atom_site_fract_y
_atom_site_fract_z
_atom_site_occupancy
Hg1 Hg 0.000 0.000 0.000 1
Ge1 Ge 0.500 0.500 0.500 1
F1 F 0.000 0.000 0.500 1
```

Density functional theory data (GGA-PBE) for a geometry-optimized ThSi2Tc4 structure.

```
data_ThSi2Tc4
_cell_length_a 4.170
_cell_length_b 13.774
_cell_length_c 4.123
_cell_angle_alpha 90.00
_cell_angle_beta 90.00
_cell_angle_gamma 90.00
_symmetry_space_group_name_H-M 'C m m m'
_symmetry_Int_Tables_number 65
_symmetry_space_group_name_Hall '-C 2 2'
loop_
_atom_site_label
_atom_site_type_symbol
_atom_site_fract_x
_atom_site_fract_y
_atom_site_fract_z
_atom_site_occupancy
Th1 Th 0.000 0.000 0.000 1
Si1 Si 0.000 0.410 0.500 1
Tc1 Tc 0.000 0.189 0.500 1
Tc2 Tc 0.000 0.304 0.000 1
```

# Li2TbCe (GGA-PBE, relaxed)
data_Li2TbCe
_cell_length_a 3.1719
_cell_length_b 3.1719
_cell_length_c 36.0856
_cell_angle_alpha 90.00
_cell_angle_beta 90.00
_cell_angle_gamma 120.00
_symmetry_space_group_name_H-M 'R -3 m'
_symmetry_Int_Tables_number 166
_symmetry_space_group_name_Hall '-R 3 2"'
loop_
_atom_site_label
_atom_site_type_symbol
_atom_site_fract_x
_atom_site_fract_y
_atom_site_fract_z
_atom_site_occupancy
Li1 Li 0.0000 0.0000 0.0880 1
Tb1 Tb 0.0000 0.0000 0.5000 1
Ce1 Ce 0.0000 0.0000 0.0000 1
# - Energy of formation from the pure elements: 1.1 eV per formula unit

# CrIrW (GGA-PBE, relaxed)
data_CrIrW
_cell_length_a 4.2949
_cell_length_b 4.2949
_cell_length_c 2.6877
_cell_angle_alpha 90.00
_cell_angle_beta 90.00
_cell_angle_gamma 120.00
_symmetry_space_group_name_H-M 'P 3 m 1'
_symmetry_Int_Tables_number 156
loop_
_symmetry_equiv_pos_as_xyz
'x,y,z'
'-y,x-y,z'
'-x+y,-x,z'
'-y,-x,z'
'-x+y,y,z'
'x,x-y,z'
loop_
_atom_site_label
_atom_site_type_symbol
_atom_site_fract_x
_atom_site_fract_y
_atom_site_fract_z
_atom_site_occupancy
Cr1 Cr 0.0000 0.0000 0.0000 1
Ir1 Ir 0.6667 0.3333 0.4129 1
W1 W 0.3333 0.6667 0.8228 1
# - Energy of formation from the pure elements: 0.3 eV per formula unit

| no. | calculated volume (Å³/atom) | ΔE to the lowest computed polymorph (eV/atom) | DFT total energy (eV per atom) |
| --- | --- | --- | --- |
| 1 | 19.03 | 0.943 | -2.9820 |
| 2 | 16.92 | 0.000 | -9.1051 |
| 3 | 26.20 | 0.018 | -3.3273 |
| 4 | 14.31 | 0.141 | -10.3816 |